Nb3InH: optimized geometry, GGA-PBE.

Output
Space group: Cmcm, No. 63
V: 16.2 Å³/atom
Total moment: 0.00 μB/f.u.
Total energy: -71.555 eV for the cell shown

Lattice parameters (Å, degrees): 5.8339 5.8339 5.6326 90.00 90.00 122.14
Fractional coordinates of all 10 atoms:
Nb 0.0000 0.0000 0.0000
Nb 0.0000 0.0000 0.5000
Nb 0.0218 0.4809 0.7500
Nb 0.4809 0.0218 0.2500
Nb 0.5191 0.9782 0.7500
Nb 0.9782 0.5191 0.2500
In 0.4741 0.5259 0.2500
In 0.5259 0.4741 0.7500
H 0.1324 0.8676 0.7500
H 0.8676 0.1324 0.2500